A plane-wave DFT calculation with meta-GGA SCAN was carried out for a PBEsol-optimized structure of Sc2AgIr.

Calculated values
- formation energy from the elements (kJ/mol of atoms) = -76.2
- energy above the most stable polymorph in this dataset (kJ/mol of formula units) = 13
- total magnetic moment (μB/atom) = 0.00
- theoretical density (g/cm3) = 9.281

abc: 3.1883 4.6782 4.6782
angles: 90.01 90.00 90.00
Fractional coordinates of all 4 atoms:
Sc  0.0000  0.5000  0.0000
Ir  0.5000  0.5000  0.5000
Ag  0.5000  0.0000  0.0000
Sc  0.0000  0.0000  0.5000